Record 1
This record from OQMD via LeMat-Bulk describes a geometry-optimized KAsOsO structure. The functional is PBE.

* total DFT energy (no corrections): -0.4319 Ry/atom
* energy relative to the lowest polymorph listed for this composition: 0.0581 eV per atom
* symmetry: Pmc2_1 (26)

Geometry as POSCAR:
```
KAsOsO
1.0
3.761 0.000 0.000
0.000 5.402 0.000
0.000 0.000 7.953
As K O Os
2 2 2 2
Direct
0.000 0.823 0.260 As
0.000 0.177 0.760 As
0.500 0.329 0.100 K
0.500 0.671 0.600 K
0.500 0.203 0.444 O
0.500 0.797 0.944 O
0.000 0.169 0.450 Os
0.000 0.831 0.950 Os
```


Record 2
This record from OQMD via LeMat-Bulk describes a geometry-optimized KAsOsO structure. The functional is PBE.

* total DFT energy (no corrections): -0.3633 Ry/atom
* energy relative to the lowest polymorph listed for this composition: 0.9923 eV per atom
* symmetry: P4/nmm (129)

Geometry as POSCAR:
```
KAsOsO
1.0
-0.890 -3.528 -0.108
0.701 -0.068 -3.572
9.092 -2.349 1.829
As K O Os
2 2 2 2
Direct
0.000 0.500 0.239 As
0.500 0.000 0.761 As
0.000 0.000 0.500 K
0.500 0.500 0.500 K
0.000 0.000 0.000 O
0.500 0.500 0.000 O
0.500 0.000 0.132 Os
0.000 0.500 0.868 Os
```


Record 3
This record from OQMD via LeMat-Bulk describes a geometry-optimized KPmAsO structure. The functional is PBE.

* total DFT energy (no corrections): -0.3955 Ry/atom
* energy relative to the lowest polymorph listed for this composition: 0.0188 eV per atom
* symmetry: Pmc2_1 (26)

Geometry as POSCAR:
```
KPmAsO
1.0
3.581 0.000 0.000
0.000 8.012 0.000
0.000 0.000 7.753
As K O Pm
2 2 2 2
Direct
0.000 0.787 0.326 As
0.000 0.213 0.826 As
0.500 0.456 0.100 K
0.500 0.544 0.600 K
0.500 0.267 0.376 O
0.500 0.733 0.876 O
0.000 0.134 0.452 Pm
0.000 0.866 0.952 Pm
```


Q: What is the total DFT energy (no corrections) in the second record?
A: -0.3633 Ry/atom